1.
DFT (PBE-GGA) results for YGa3B4O12 after structural relaxation.

For the uncorrected energy, the calculation gives -7.450 eV per atom. The calculation puts the density of states at the Fermi level at 0.00 states/eV per atom. The space group is R32 (155). The value obtained for the formation energy (no corrections) is -2.362 eV/atom. As for the total moment: 0.0000 μB/atom.

Cell lengths 6.059, 6.059, 6.059 Å; angles 103.98, 103.98, 103.98 degrees
Fractional coordinates of all 20 atoms:
Y (0.500, 0.500, 0.500)
Ga (0.050, 0.950, 0.500)
Ga (0.950, 0.500, 0.050)
Ga (0.500, 0.050, 0.950)
B (0.447, 0.553, 0.000)
B (0.553, 0.000, 0.447)
B (0.000, 0.447, 0.553)
B (0.000, 0.000, 0.000)
O (0.291, 0.528, 0.132)
O (0.528, 0.132, 0.291)
O (0.709, 0.868, 0.472)
O (0.132, 0.291, 0.528)
O (0.472, 0.709, 0.868)
O (0.868, 0.472, 0.709)
O (0.855, 0.145, 0.000)
O (0.145, 0.000, 0.855)
O (0.000, 0.855, 0.145)
O (0.592, 0.408, 0.000)
O (0.408, 0.000, 0.592)
O (0.000, 0.592, 0.408)

2.
DFT (PBE-GGA) results for ZnGa2BO6 after structural relaxation.

For the uncorrected energy, the calculation gives -6.017 eV per atom. The space group is C2/c (15). The value obtained for the formation energy (no corrections) is -1.642 eV/atom. As for the total moment: 0.1036 μB/atom.

Cell lengths 5.247, 6.934, 6.934 Å; angles 95.56, 73.54, 73.54 degrees
Last column: magnetic moment on the atom in μB.
Fractional coordinates of all 20 atoms:
Zn (0.250, 0.896, 0.104)  0.01
Zn (0.750, 0.104, 0.896)  0.01
Ga (0.366, 0.763, 0.563)  -0.01
Ga (0.134, 0.437, 0.237)  -0.01
Ga (0.634, 0.237, 0.437)  -0.01
Ga (0.866, 0.563, 0.763)  -0.01
B (0.250, 0.170, 0.830)  0.00
B (0.750, 0.830, 0.170)  0.00
O (0.188, 0.969, 0.805)  0.03
O (0.312, 0.195, 0.031)  0.03
O (0.812, 0.031, 0.195)  0.03
O (0.688, 0.805, 0.969)  0.03
O (0.480, 0.849, 0.322)  0.01
O (0.020, 0.678, 0.151)  0.01
O (0.520, 0.151, 0.678)  0.01
O (0.980, 0.322, 0.849)  0.01
O (0.062, 0.674, 0.560)  0.40
O (0.438, 0.440, 0.326)  0.40
O (0.938, 0.326, 0.440)  0.40
O (0.562, 0.560, 0.674)  0.40

3.
DFT (PBE-GGA) results for ZnGaBO4 after structural relaxation.

For the uncorrected energy, the calculation gives -6.227 eV per atom. The calculation puts the density of states at the Fermi level at 0.00 states/eV per atom. The space group is Cmcm (63). The value obtained for the formation energy (no corrections) is -1.825 eV/atom. As for the total moment: 0.0000 μB/atom.

Cell lengths 5.033, 5.033, 5.709 Å; angles 90.00, 90.00, 113.20 degrees
Fractional coordinates of all 14 atoms:
Zn (0.500, 0.500, 0.500)
Zn (0.500, 0.500, 0.000)
Ga (0.851, 0.149, 0.250)
Ga (0.149, 0.851, 0.750)
B (0.149, 0.851, 0.250)
B (0.851, 0.149, 0.750)
O (0.185, 0.245, 0.750)
O (0.755, 0.815, 0.750)
O (0.751, 0.249, 0.960)
O (0.751, 0.249, 0.540)
O (0.249, 0.751, 0.040)
O (0.249, 0.751, 0.460)
O (0.815, 0.755, 0.250)
O (0.245, 0.185, 0.250)

4.
DFT (PBE-GGA) results for Zn2GaB2O6 after structural relaxation.

For the uncorrected energy, the calculation gives -6.174 eV per atom. The calculation puts the density of states at the Fermi level at 0.17 states/eV per atom. The space group is P-3 (147). The value obtained for the formation energy (no corrections) is -1.749 eV/atom. As for the total moment: 0.0000 μB/atom.

Cell lengths 4.814, 4.814, 6.593 Å; angles 90.00, 90.00, 120.00 degrees
Fractional coordinates of all 11 atoms:
Zn (0.333, 0.667, 0.302)
Zn (0.667, 0.333, 0.698)
Ga (0.000, 0.000, 0.000)
B (0.333, 0.667, 0.819)
B (0.667, 0.333, 0.181)
O (0.301, 0.364, 0.818)
O (0.063, 0.699, 0.818)
O (0.636, 0.937, 0.818)
O (0.699, 0.636, 0.182)
O (0.937, 0.301, 0.182)
O (0.364, 0.063, 0.182)

5.
DFT (PBE-GGA) results for Ga3BOs after structural relaxation.

For the uncorrected energy, the calculation gives -4.442 eV per atom. The calculation puts the density of states at the Fermi level at 0.64 states/eV per atom. The space group is Pm-3m (221). As for the total moment: 0.0140 μB/atom. The energy relative to the lowest polymorph listed for this composition comes out at 0.284 eV/f.u. The calculation puts the energy relative to the elements at 0.96 eV per atom.

Cell lengths 4.791, 4.791, 4.791 Å; angles 90.00, 90.00, 90.00 degrees
Fractional coordinates of all 5 atoms:
B (0.500, 0.500, 0.500)
Os (0.000, 0.000, 0.000)
Ga (0.000, 0.500, 0.000)
Ga (0.000, 0.000, 0.500)
Ga (0.500, 0.000, 0.000)

6.
DFT (PBE-GGA) results for GaBOs2 after structural relaxation.

For the uncorrected energy, the calculation gives -7.561 eV per atom. The calculation puts the density of states at the Fermi level at 0.69 states/eV per atom. The space group is Fm-3m (225). As for the total moment: 0.0000 μB/atom. The energy relative to the lowest polymorph listed for this composition comes out at 0.692 eV/f.u. The calculation puts the energy relative to the elements at 0.48 eV per atom.

Cell lengths 4.111, 4.111, 4.111 Å; angles 60.00, 60.00, 60.00 degrees
Fractional coordinates of all 4 atoms:
B (0.000, 0.000, 0.000)
Os (0.250, 0.250, 0.250)
Os (0.750, 0.750, 0.750)
Ga (0.500, 0.500, 0.500)

7.
DFT (PBE-GGA) results for Ga3BOs after structural relaxation.

For the uncorrected energy, the calculation gives -4.499 eV per atom. The calculation puts the density of states at the Fermi level at 0.39 states/eV per atom. The space group is Pm-3m (221). As for the total moment: 0.0000 μB/atom. The energy relative to the lowest polymorph listed for this composition comes out at 0.000 eV/f.u. The calculation puts the energy relative to the elements at 0.90 eV per atom.

Cell lengths 4.183, 4.183, 4.183 Å; angles 90.00, 90.00, 90.00 degrees
Fractional coordinates of all 5 atoms:
B (0.000, 0.000, 0.000)
Os (0.500, 0.500, 0.500)
Ga (0.000, 0.500, 0.000)
Ga (0.000, 0.000, 0.500)
Ga (0.500, 0.000, 0.000)

8.
DFT (PBE-GGA) results for GaBOs2 after structural relaxation.

For the uncorrected energy, the calculation gives -7.276 eV per atom. The calculation puts the density of states at the Fermi level at 0.85 states/eV per atom. The space group is I-42d (122). As for the total moment: 0.0000 μB/atom. The energy relative to the lowest polymorph listed for this composition comes out at 1.835 eV/f.u. The calculation puts the energy relative to the elements at 0.77 eV per atom.

Cell lengths 4.100, 4.100, 7.951 Å; angles 75.06, 75.06, 90.00 degrees
Fractional coordinates of all 8 atoms:
B (0.500, 0.500, 0.000)
B (0.250, 0.750, 0.500)
Os (0.536, 0.125, 0.250)
Os (0.214, 0.625, 0.250)
Os (0.375, 0.464, 0.750)
Os (0.875, 0.786, 0.750)
Ga (0.000, 0.000, 0.000)
Ga (0.750, 0.250, 0.500)

9.
DFT (PBE-GGA) results for GaBOs2 after structural relaxation.

For the uncorrected energy, the calculation gives -7.734 eV per atom. The calculation puts the density of states at the Fermi level at 1.11 states/eV per atom. The space group is R-3m (166). As for the total moment: 0.0000 μB/atom. The energy relative to the lowest polymorph listed for this composition comes out at 0.000 eV/f.u. The calculation puts the energy relative to the elements at 0.31 eV per atom.

Cell lengths 2.958, 2.958, 7.638 Å; angles 78.84, 78.84, 60.00 degrees
Fractional coordinates of all 4 atoms:
B (0.500, 0.500, 0.500)
Os (0.109, 0.109, 0.674)
Os (0.891, 0.891, 0.326)
Ga (0.000, 0.000, 0.000)

10.
DFT (PBE-GGA) results for GaB2Os2 after structural relaxation.

For the uncorrected energy, the calculation gives -7.554 eV per atom. The calculation puts the density of states at the Fermi level at 0.29 states/eV per atom. The space group is P4/mbm (127). As for the total moment: 0.0000 μB/atom. The calculation puts the energy relative to the elements at 0.21 eV per atom.

Cell lengths 6.270, 6.270, 2.783 Å; angles 90.00, 90.00, 90.00 degrees
Fractional coordinates of all 10 atoms:
B (0.364, 0.864, 0.000)
B (0.864, 0.636, 0.000)
B (0.636, 0.136, 0.000)
B (0.136, 0.364, 0.000)
Os (0.156, 0.656, 0.500)
Os (0.656, 0.844, 0.500)
Os (0.844, 0.344, 0.500)
Os (0.344, 0.156, 0.500)
Ga (0.000, 0.000, 0.000)
Ga (0.500, 0.500, 0.000)

11.
DFT (PBE-GGA) results for GaB2OsPd after structural relaxation.

For the uncorrected energy, the calculation gives -5.005 eV per atom. The calculation puts the density of states at the Fermi level at 0.89 states/eV per atom. The space group is P4/mmm (123). As for the total moment: 0.3637 μB/atom. The calculation puts the energy relative to the elements at 1.56 eV per atom.

Cell lengths 3.940, 5.029, 3.940 Å; angles 90.00, 90.00, 90.00 degrees
Last column: magnetic moment on the atom in μB.
Fractional coordinates of all 5 atoms:
B (0.000, 0.000, 0.500)  0.05
B (0.500, 0.000, 0.000)  0.02
Os (0.500, 0.500, 0.500)  1.64
Ga (0.000, 0.500, 0.000)  -0.03
Pd (0.000, 0.000, 0.000)  0.01

12.
DFT (PBE-GGA) results for Pm3Ga2BOs3 after structural relaxation.

For the uncorrected energy, the calculation gives -6.888 eV per atom. The calculation puts the density of states at the Fermi level at 0.86 states/eV per atom. The space group is P-62m (189). As for the total moment: 0.0000 μB/atom. The calculation puts the energy relative to the elements at -0.15 eV per atom.

Cell lengths 3.590, 7.351, 7.351 Å; angles 120.00, 90.00, 90.00 degrees
Fractional coordinates of all 9 atoms:
Pm (0.000, 0.000, 0.371)
Pm (0.000, 0.629, 0.629)
Pm (0.000, 0.371, 0.000)
Ga (0.500, 0.333, 0.667)
Ga (0.500, 0.667, 0.333)
B (0.000, 0.000, 0.000)
Os (0.500, 0.778, 0.000)
Os (0.500, 0.222, 0.222)
Os (0.500, 0.000, 0.778)

13.
DFT (PBE-GGA) results for Pr2Ga2BOs2 after structural relaxation.

For the uncorrected energy, the calculation gives -6.835 eV per atom. The calculation puts the density of states at the Fermi level at 0.49 states/eV per atom. The space group is C2/m (12). As for the total moment: 0.0000 μB/atom. The calculation puts the energy relative to the elements at -0.44 eV per atom.

Cell lengths 4.138, 5.905, 6.404 Å; angles 73.18, 71.15, 69.49 degrees
Fractional coordinates of all 7 atoms:
Pr (0.571, 0.158, 0.699)
Pr (0.429, 0.842, 0.301)
Ga (0.144, 0.393, 0.319)
Ga (0.856, 0.607, 0.681)
B (0.000, 0.000, 0.000)
Os (0.207, 0.662, 0.924)
Os (0.793, 0.338, 0.076)

14.
DFT (PBE-GGA) results for RbGaBOs2 after structural relaxation.

For the uncorrected energy, the calculation gives -4.097 eV per atom. The calculation puts the density of states at the Fermi level at 1.20 states/eV per atom. The space group is P4/mmm (123). As for the total moment: 0.5129 μB/atom. The calculation puts the energy relative to the elements at 2.53 eV per atom.

Cell lengths 4.677, 4.677, 5.860 Å; angles 90.00, 90.00, 90.00 degrees
Last column: magnetic moment on the atom in μB.
Fractional coordinates of all 5 atoms:
B (0.500, 0.500, 0.500)  -0.22
Os (0.000, 0.500, 0.000)  1.43
Os (0.500, 0.000, 0.000)  1.43
Ga (0.000, 0.000, 0.000)  -0.01
Rb (0.000, 0.000, 0.500)  -0.03

15.
DFT (PBE-GGA) results for Sc2GaB2Os5 after structural relaxation.

For the uncorrected energy, the calculation gives -8.890 eV per atom. The calculation puts the density of states at the Fermi level at 0.86 states/eV per atom. The space group is P4/mbm (127). As for the total moment: 0.0000 μB/atom. The calculation puts the energy relative to the elements at -0.37 eV per atom.

Cell lengths 3.044, 9.442, 9.442 Å; angles 90.00, 90.00, 90.00 degrees
Fractional coordinates of all 20 atoms:
Sc (0.000, 0.677, 0.177)
Sc (0.000, 0.323, 0.823)
Sc (0.000, 0.177, 0.323)
Sc (0.000, 0.823, 0.677)
Ga (0.000, 0.000, 0.000)
Ga (0.000, 0.500, 0.500)
B (0.000, 0.126, 0.626)
B (0.000, 0.874, 0.374)
B (0.000, 0.626, 0.874)
B (0.000, 0.374, 0.126)
Os (0.500, 0.216, 0.068)
Os (0.500, 0.784, 0.932)
Os (0.500, 0.068, 0.784)
Os (0.500, 0.716, 0.432)
Os (0.500, 0.932, 0.216)
Os (0.500, 0.284, 0.568)
Os (0.500, 0.568, 0.716)
Os (0.500, 0.432, 0.284)
Os (0.500, 0.500, 0.000)
Os (0.500, 0.000, 0.500)

16.
DFT (PBE-GGA) results for Ga2TcBOs after structural relaxation.

For the uncorrected energy, the calculation gives -5.896 eV per atom. The calculation puts the density of states at the Fermi level at 0.56 states/eV per atom. The space group is P4/mmm (123). As for the total moment: 0.6497 μB/atom. The calculation puts the energy relative to the elements at 0.97 eV per atom.

Cell lengths 4.763, 4.008, 4.763 Å; angles 90.00, 90.00, 90.00 degrees
Last column: magnetic moment on the atom in μB.
Fractional coordinates of all 5 atoms:
B (0.000, 0.500, 0.000)  0.03
Os (0.000, 0.000, 0.000)  0.20
Tc (0.500, 0.500, 0.500)  2.76
Ga (0.000, 0.000, 0.500)  -0.02
Ga (0.500, 0.000, 0.000)  -0.01

17.
DFT (PBE-GGA) results for TiGaBOs2 after structural relaxation.

For the uncorrected energy, the calculation gives -7.885 eV per atom. The calculation puts the density of states at the Fermi level at 0.73 states/eV per atom. The space group is P4/mmm (123). As for the total moment: 0.0000 μB/atom. The calculation puts the energy relative to the elements at 0.13 eV per atom.

Cell lengths 4.147, 4.034, 4.147 Å; angles 90.00, 90.00, 90.00 degrees
Fractional coordinates of all 5 atoms:
B (0.000, 0.000, 0.000)
Os (0.000, 0.000, 0.500)
Os (0.500, 0.000, 0.000)
Ga (0.000, 0.500, 0.000)
Ti (0.500, 0.500, 0.500)

18.
DFT (PBE-GGA) results for GaBOsW2 after structural relaxation.

For the uncorrected energy, the calculation gives -8.975 eV per atom. The calculation puts the density of states at the Fermi level at 0.83 states/eV per atom. The space group is P4/mmm (123). As for the total moment: 0.0000 μB/atom. The calculation puts the energy relative to the elements at 0.39 eV per atom.

Cell lengths 4.178, 4.144, 4.178 Å; angles 90.00, 90.00, 90.00 degrees
Fractional coordinates of all 5 atoms:
B (0.000, 0.000, 0.000)
Os (0.000, 0.500, 0.000)
Ga (0.500, 0.500, 0.500)
W (0.000, 0.000, 0.500)
W (0.500, 0.000, 0.000)

19.
DFT (PBE-GGA) results for YGa2BOs after structural relaxation.

For the uncorrected energy, the calculation gives -5.995 eV per atom. The calculation puts the density of states at the Fermi level at 0.40 states/eV per atom. The space group is P4/mmm (123). As for the total moment: 0.0000 μB/atom. The calculation puts the energy relative to the elements at 0.09 eV per atom.

Cell lengths 4.444, 4.201, 4.444 Å; angles 90.00, 90.00, 90.00 degrees
Fractional coordinates of all 5 atoms:
Y (0.500, 0.500, 0.500)
B (0.000, 0.000, 0.000)
Os (0.000, 0.500, 0.000)
Ga (0.000, 0.000, 0.500)
Ga (0.500, 0.000, 0.000)

20.
DFT (PBE-GGA) results for Zr2GaB2Os5 after structural relaxation.

For the uncorrected energy, the calculation gives -9.394 eV per atom. The calculation puts the density of states at the Fermi level at 0.62 states/eV per atom. The space group is P4/mbm (127). As for the total moment: 0.0000 μB/atom. The calculation puts the energy relative to the elements at -0.43 eV per atom.

Cell lengths 3.089, 9.476, 9.476 Å; angles 90.00, 90.00, 90.00 degrees
Fractional coordinates of all 20 atoms:
Zr (0.000, 0.677, 0.177)
Zr (0.000, 0.323, 0.823)
Zr (0.000, 0.177, 0.323)
Zr (0.000, 0.823, 0.677)
Ga (0.000, 0.000, 0.000)
Ga (0.000, 0.500, 0.500)
B (0.000, 0.124, 0.624)
B (0.000, 0.876, 0.376)
B (0.000, 0.624, 0.876)
B (0.000, 0.376, 0.124)
Os (0.500, 0.216, 0.068)
Os (0.500, 0.784, 0.932)
Os (0.500, 0.068, 0.784)
Os (0.500, 0.716, 0.432)
Os (0.500, 0.932, 0.216)
Os (0.500, 0.284, 0.568)
Os (0.500, 0.568, 0.716)
Os (0.500, 0.432, 0.284)
Os (0.500, 0.500, 0.000)
Os (0.500, 0.000, 0.500)